No. 1
This record from the Alexandria database describes Nd2HoPd2 after structural relaxation. The functional is PBE.

- space group = P4/mbm, No. 127
- energy relative to the elements (meV/atom) = -664

a = 4.071 Å, b = 7.926 Å, c = 7.926 Å
α = 90.00°, β = 90.00°, γ = 90.00°
Fractional positions:
Ho 0.000 0.500 0.500
Nd 0.500 0.169 0.669
Pd 0.000 0.130 0.370
Pd 0.000 0.370 0.870
Nd 0.500 0.331 0.169
Nd 0.500 0.669 0.831
Nd 0.500 0.831 0.331
Pd 0.000 0.870 0.630
Ho 0.000 0.000 0.000
Pd 0.000 0.630 0.130


No. 2
This record from the Alexandria database describes TlCrW2 after structural relaxation. The functional is PBE.

- space group = P2/m, No. 10
- energy relative to the elements (meV/atom) = 704

a = 4.084 Å, b = 2.886 Å, c = 6.165 Å
α = 69.27°, β = 90.00°, γ = 90.00°
Fractional positions:
W 0.000 0.450 0.453
W 0.000 0.050 0.047
Tl 0.500 0.750 0.750
Cr 0.500 0.250 0.250


No. 3
This record from the Alexandria database describes AlReAs2 after structural relaxation. The functional is PBE.

- space group = P4mm, No. 99
- energy relative to the elements (meV/atom) = 33

a = 3.188 Å, b = 3.188 Å, c = 6.987 Å
α = 90.00°, β = 90.00°, γ = 90.00°
Fractional positions:
Re 0.000 0.000 0.524
As 0.500 0.500 0.327
Al 0.500 0.500 0.724
As 0.000 0.000 0.925


No. 4
This record from the Alexandria database describes CaAgSb4 after structural relaxation. The functional is PBE.

- space group = F-43m, No. 216
- raw formation energy (eV per atom) = -0.018

a = 6.252 Å, b = 6.252 Å, c = 6.252 Å
α = 60.00°, β = 60.00°, γ = 60.00°
Fractional positions:
Sb 0.376 0.376 0.376
Sb 0.873 0.376 0.376
Ca 0.000 0.000 0.000
Sb 0.376 0.873 0.376
Sb 0.376 0.376 0.873
Ag 0.750 0.750 0.750


no.,total DFT energy (no corrections) (eV/atom)
1,-5.563
2,-8.770
3,-6.339
4,-3.575